[1]
VASP calculation (PBE-GGA) on Sc2IrRh after structural relaxation.

Summary:
Density of states at the Fermi level: 3.58 states/eV per cell
Total energy: -7.610 eV per atom

```
Sc2IrRh
1.0
-0.850 2.951 0.019
-2.909 -0.841 0.514
1.322 0.329 8.028
Ir Rh Sc
1 1 2
Direct
0.000 0.000 0.506 Ir
0.500 0.500 0.745 Rh
0.500 0.500 0.315 Sc
0.000 0.000 0.933 Sc
```



[2]
VASP calculation (PBE-GGA) on RbSiB after structural relaxation.

Summary:
Density of states at the Fermi level: 0.13 states/eV per cell
ΔE_f (raw): 0.4012 eV per atom
Total energy: -3.955 eV per atom

```
RbSiB
1.0
-4.873 3.697 -3.498
0.280 -7.012 0.642
-2.138 0.207 3.198
Si Rb B
2 2 2
Direct
0.935 0.065 0.250 Si
0.065 0.935 0.750 Si
0.335 0.665 0.750 Rb
0.665 0.335 0.250 Rb
0.099 0.901 0.250 B
0.901 0.099 0.750 B
```



[3]
VASP calculation (PBE-GGA) on La4NdTm6 after structural relaxation.

Summary:
Density of states at the Fermi level: 14.86 states/eV per cell
Total energy: -4.365 eV per atom

```
La4NdTm6
1.0
7.521 -2.846 -5.453
-5.173 8.025 1.799
-1.834 2.846 9.107
Tm La Nd
6 4 1
Direct
0.500 0.500 0.000 Tm
0.350 0.557 0.557 Tm
0.500 0.000 0.500 Tm
0.000 0.443 0.794 Tm
0.650 0.206 0.206 Tm
0.000 0.794 0.443 Tm
0.381 0.367 0.367 La
0.619 0.986 0.986 La
0.000 0.633 0.014 La
0.000 0.014 0.633 La
0.000 0.000 0.000 Nd
```